1.
! InFeSe2N PBE optimized geometry; values from VASP
! Crystal system: tetragonal
! Symmetry: P4/mmm, No. 123
&SYSTEM
  ibrav = 0, nat = 5, ntyp = 4
/
ATOMIC_SPECIES
Se 78.96 Se.upf
In 114.82 In.upf
Fe 55.84 Fe.upf
N 14.01 N.upf
ATOMIC_POSITIONS angstrom
Se -1.316 -1.045 1.889
In -0.596 1.315 3.696
Se -0.677 2.300 0.801
Fe 0.000 0.000 0.000
N 1.397 0.061 1.007
CELL_PARAMETERS angstrom
-1.355 4.600 1.602
-2.631 -2.091 3.777
2.794 0.122 2.013

---

2.
! InFeSeN2 PBE optimized geometry; values from VASP
! Crystal system: tetragonal
! Symmetry: P4/mmm, No. 123
&SYSTEM
  ibrav = 0, nat = 5, ntyp = 4
/
ATOMIC_SPECIES
In 114.82 In.upf
N 14.01 N.upf
Se 78.96 Se.upf
Fe 55.84 Fe.upf
ATOMIC_POSITIONS angstrom
In 0.000 0.000 0.000
N 0.000 2.046 0.000
Se 0.000 0.000 2.733
N 2.046 0.000 0.000
Fe 2.046 2.046 2.733
CELL_PARAMETERS angstrom
4.093 0.000 0.000
0.000 4.093 0.000
0.000 0.000 5.466

---

Raw formation energy: 0.134; 1.775 (eV/atom)
Density of states at the Fermi level: 5.43; 9.34 (states/eV/f.u.)